1.
Entry from the Alexandria database: TcNiGe2H at its PBEsol-relaxed geometry (SCAN).

Structure (extended XYZ):
```
5
Lattice="3.304 0.000 0.000 0.000 4.188 0.000 0.000 0.000 4.188" Properties=species:S:1:pos:R:3 pbc="T T T"
Ni 1.652 2.094 2.094
Ge 0.000 0.000 2.094
Ge 0.000 2.094 0.000
Tc 1.652 0.000 0.000
H 0.000 0.000 0.000
```

- size of the total moment (μB/cell) = 0.00
- symmetry = P4/mmm, No. 123
- N(E_F) (states/eV per cell) = 3.00
- total DFT energy (no corrections) (eV/atom) = -18.284
- calculated volume (Å³/cell) = 57.9

2.
Entry from the Alexandria database: GeH3O at its PBEsol-relaxed geometry (SCAN).

Structure (extended XYZ):
```
5
Lattice="3.278 0.000 0.000 0.000 3.278 0.000 0.000 0.000 3.278" Properties=species:S:1:pos:R:3 pbc="T T T"
H 0.000 1.639 0.000
H 0.000 0.000 1.639
H 1.639 0.000 0.000
Ge 1.639 1.639 1.639
O 0.000 0.000 0.000
```

- size of the total moment (μB/cell) = 0.00
- symmetry = Pm-3m, No. 221
- N(E_F) (states/eV per cell) = 1.42
- total DFT energy (no corrections) (eV/atom) = -6.157
- calculated volume (Å³/cell) = 35.2

3.
Entry from the Alexandria database: SrGeH2O4 at its PBEsol-relaxed geometry (SCAN).

Structure (extended XYZ):
```
16
Lattice="-4.033 3.458 -3.132 -2.310 -2.598 5.093 4.587 3.719 1.777" Properties=species:S:1:pos:R:3 pbc="T T T"
Sr -3.171 0.430 0.981
Sr -1.309 3.803 -0.187
Ge 0.000 0.000 0.000
Ge -0.447 0.775 3.926
H 1.332 1.884 0.626
H 1.012 2.211 5.160
H -4.354 2.582 -0.930
H -1.503 2.480 2.623
O -1.194 3.628 2.358
O -0.348 6.169 -0.215
O -1.105 1.280 -0.519
O -2.588 4.137 -2.371
O -1.796 1.339 2.931
O 1.205 3.082 0.448
O -3.770 2.759 0.123
O 0.849 1.977 3.976
```

- size of the total moment (μB/cell) = 0.00
- symmetry = I-42d, No. 122
- N(E_F) (states/eV per cell) = 0.00
- total DFT energy (no corrections) (eV/atom) = -11.127
- calculated volume (Å³/cell) = 179.6

4.
Entry from the Alexandria database: Ge3HOs at its PBEsol-relaxed geometry (SCAN).

Structure (extended XYZ):
```
5
Lattice="4.044 0.000 0.000 0.000 4.044 0.000 0.000 0.000 4.044" Properties=species:S:1:pos:R:3 pbc="T T T"
H 0.000 0.000 0.000
Ge 0.000 2.022 0.000
Ge 0.000 0.000 2.022
Ge 2.022 0.000 0.000
Os 2.022 2.022 2.022
```

- size of the total moment (μB/cell) = 0.00
- symmetry = Pm-3m, No. 221
- N(E_F) (states/eV per cell) = 2.68
- total DFT energy (no corrections) (eV/atom) = -25.678
- calculated volume (Å³/cell) = 66.1

5.
Entry from the Alexandria database: GeHOs3 at its PBEsol-relaxed geometry (SCAN).

Structure (extended XYZ):
```
5
Lattice="3.903 0.000 0.000 0.000 3.903 0.000 0.000 0.000 3.903" Properties=species:S:1:pos:R:3 pbc="T T T"
H 0.000 0.000 0.000
Ge 1.951 1.951 1.951
Os 0.000 1.951 0.000
Os 0.000 0.000 1.951
Os 1.951 0.000 0.000
```

- size of the total moment (μB/cell) = 1.98
- symmetry = Pm-3m, No. 221
- N(E_F) (states/eV per cell) = 2.97
- total DFT energy (no corrections) (eV/atom) = -47.016
- calculated volume (Å³/cell) = 59.4

6.
Entry from the Alexandria database: Ge2P2H at its PBEsol-relaxed geometry (SCAN).

Structure (extended XYZ):
```
5
Lattice="3.253 0.000 0.000 0.000 3.253 0.000 -1.627 -1.627 7.285" Properties=species:S:1:pos:R:3 pbc="T T T"
P 0.000 1.627 3.642
P 1.627 0.000 3.642
Ge 0.000 0.000 5.995
Ge 1.627 1.627 1.289
H 0.000 0.000 0.000
```

- size of the total moment (μB/cell) = 0.00
- symmetry = I4/mmm, No. 139
- N(E_F) (states/eV per cell) = 2.18
- total DFT energy (no corrections) (eV/atom) = -11.744
- calculated volume (Å³/cell) = 77.1

Repeat the third record exactly.
Entry from the Alexandria database: SrGeH2O4 at its PBEsol-relaxed geometry (SCAN).

Structure (extended XYZ):
```
16
Lattice="-4.033 3.458 -3.132 -2.310 -2.598 5.093 4.587 3.719 1.777" Properties=species:S:1:pos:R:3 pbc="T T T"
Sr -3.171 0.430 0.981
Sr -1.309 3.803 -0.187
Ge 0.000 0.000 0.000
Ge -0.447 0.775 3.926
H 1.332 1.884 0.626
H 1.012 2.211 5.160
H -4.354 2.582 -0.930
H -1.503 2.480 2.623
O -1.194 3.628 2.358
O -0.348 6.169 -0.215
O -1.105 1.280 -0.519
O -2.588 4.137 -2.371
O -1.796 1.339 2.931
O 1.205 3.082 0.448
O -3.770 2.759 0.123
O 0.849 1.977 3.976
```

- size of the total moment (μB/cell) = 0.00
- symmetry = I-42d, No. 122
- N(E_F) (states/eV per cell) = 0.00
- total DFT energy (no corrections) (eV/atom) = -11.127
- calculated volume (Å³/cell) = 179.6

Question: Among the records above, which one has the highest calculated volume?
Answer: SrGeH2O4

Question: Which value of N(E_F) does entry 1 give?
Answer: 3.00 states/eV per cell

Question: Which of these has the lowest total DFT energy (no corrections)?
Answer: GeHOs3